Rb2PaCl5O, relaxed, DFT PBE-GGA; formation energy from raw total energies = -2.177 eV per atom; total energy = -5.024 eV per atom; space-group type = I4mm (107); magnetic moment = 0.0 μB/cell
1.0
7.404 0.012 0.017
-3.505 6.521 -0.017
-3.505 -2.338 6.088
O Cl Rb Pa
1 5 2 1
Cartesian
-5.614 3.350 4.862
-3.482 4.314 1.475
1.954 1.028 1.492
-3.482 -0.158 4.556
-1.693 1.010 1.466
-1.514 3.140 4.556
0.244 -0.146 4.529
0.244 4.284 1.477
-6.898 4.116 5.974